Record 1
The following is a PBE calculation of crystalline RbYHg2 at its relaxed geometry, from the Alexandria database.

The value obtained for the density of states at the Fermi level is 0.379 states/eV per atom. For the total magnetization, the calculation gives 0.000 μB/f.u. The formation energy is 77 meV per atom. The calculation puts the raw total energy at -1.9317 eV per atom. For the relative energy among the computed polymorphs, the calculation gives 337 meV/atom.

It has space group I-42d (No. 122), with a = 8.7002 Å, b = 8.7002 Å, c = 7.9143 Å, α = 90.00°, β = 90.00° and γ = 90.00°. The distinct sites, in fractional coordinates, are Rb at (0.0000, 0.0000, 0.0000), Y at (0.0000, 0.0000, 0.5000) and Hg at (0.2085, 0.2500, 0.6250).

=====

Record 2
The following is a PBE calculation of crystalline Rb3YHg at its relaxed geometry, from the Alexandria database.

The value obtained for the density of states at the Fermi level is 2.563 states/eV per atom. For the total magnetization, the calculation gives 3.849 μB/f.u. The formation energy is 757 meV per atom. The calculation puts the raw total energy at -1.1765 eV per atom. For the relative energy among the computed polymorphs, the calculation gives 247 meV/atom.

It has space group Pm-3m (No. 221), with a = 7.6891 Å, b = 7.6891 Å, c = 7.6891 Å, α = 90.00°, β = 90.00° and γ = 90.00°. The distinct sites, in fractional coordinates, are Rb at (0.0000, 0.0000, 0.5000), Y at (0.0000, 0.0000, 0.0000) and Hg at (0.5000, 0.5000, 0.5000).

=====

Record 3
The following is a PBE calculation of crystalline RbY2Hg2 at its relaxed geometry, from the Alexandria database.

The value obtained for the density of states at the Fermi level is 1.266 states/eV per atom. For the total magnetization, the calculation gives 0.000 μB/f.u. The formation energy is -153 meV per atom. The calculation puts the raw total energy at -3.0525 eV per atom. For the relative energy among the computed polymorphs, the calculation gives 0 meV/atom.

It has space group P4/mbm (No. 127), with a = 9.2419 Å, b = 9.2419 Å, c = 3.5389 Å, α = 90.00°, β = 90.00° and γ = 90.00°. The distinct sites, in fractional coordinates, are Rb at (0.0000, 0.0000, 0.0000), Y at (0.1306, 0.3694, 0.0000) and Hg at (0.1639, 0.6639, 0.5000).

=====

Record 4
The following is a PBE calculation of crystalline RbYHg2 at its relaxed geometry, from the Alexandria database.

The value obtained for the density of states at the Fermi level is 0.490 states/eV per atom. For the total magnetization, the calculation gives 0.000 μB/f.u. The formation energy is -40 meV per atom. The calculation puts the raw total energy at -2.0489 eV per atom. For the relative energy among the computed polymorphs, the calculation gives 219 meV/atom.

It has space group Fm-3m (No. 225), with a = 7.9008 Å, b = 7.9008 Å, c = 7.9008 Å, α = 90.00°, β = 90.00° and γ = 90.00°. The distinct sites, in fractional coordinates, are Rb at (0.0000, 0.0000, 0.0000), Y at (0.0000, 0.0000, 0.5000) and Hg at (0.2500, 0.2500, 0.2500).

=====

Record 5
The following is a PBE calculation of crystalline Rb3YHg at its relaxed geometry, from the Alexandria database.

The value obtained for the density of states at the Fermi level is 1.050 states/eV per atom. For the total magnetization, the calculation gives 0.802 μB/f.u. The formation energy is 510 meV per atom. The calculation puts the raw total energy at -1.4238 eV per atom. For the relative energy among the computed polymorphs, the calculation gives 0 meV/atom.

It has space group Pm-3m (No. 221), with a = 6.8130 Å, b = 6.8130 Å, c = 6.8130 Å, α = 90.00°, β = 90.00° and γ = 90.00°. The distinct sites, in fractional coordinates, are Rb at (0.0000, 0.0000, 0.5000), Y at (0.5000, 0.5000, 0.5000) and Hg at (0.0000, 0.0000, 0.0000).

=====

Record 6
The following is a PBE calculation of crystalline RbYHg3 at its relaxed geometry, from the Alexandria database.

The value obtained for the density of states at the Fermi level is 0.689 states/eV per atom. For the total magnetization, the calculation gives 0.000 μB/f.u. The formation energy is -24 meV per atom. The calculation puts the raw total energy at -1.6917 eV per atom. For the relative energy among the computed polymorphs, the calculation gives 0 meV/atom.

It has space group Pm-3m (No. 221), with a = 5.9472 Å, b = 5.9472 Å, c = 5.9472 Å, α = 90.00°, β = 90.00° and γ = 90.00°. The distinct sites, in fractional coordinates, are Rb at (0.0000, 0.0000, 0.0000), Y at (0.5000, 0.5000, 0.5000) and Hg at (0.0000, 0.5000, 0.5000).

=====

Record 7
The following is a PBE calculation of crystalline RbYHg at its relaxed geometry, from the Alexandria database.

The value obtained for the density of states at the Fermi level is 0.721 states/eV per atom. For the total magnetization, the calculation gives 0.200 μB/f.u. The formation energy is 64 meV per atom. The calculation puts the raw total energy at -2.5135 eV per atom.

It has space group Amm2 (No. 38), with a = 17.2746 Å, b = 3.9851 Å, c = 6.8923 Å, α = 90.00°, β = 90.00° and γ = 90.00°. The distinct sites, in fractional coordinates, are Rb at (0.1694, 0.0000, 0.0000), Y at (0.3809, 0.0000, 0.3347), Hg at (0.0000, 0.0000, 0.3348) and Hg at (0.5000, 0.0000, 0.0012).

=====

Record 8
The following is a PBE calculation of crystalline RbY2Hg at its relaxed geometry, from the Alexandria database.

The value obtained for the density of states at the Fermi level is 1.194 states/eV per atom. For the total magnetization, the calculation gives 0.987 μB/f.u. The formation energy is 587 meV per atom. The calculation puts the raw total energy at -2.9621 eV per atom.

It has space group I4_1/amd (No. 141, origin choice 2), with a = 6.5303 Å, b = 6.5303 Å, c = 19.8765 Å, α = 90.00°, β = 90.00° and γ = 90.00°. The distinct sites, in fractional coordinates, are Rb at (0.0000, 0.2500, 0.3750), Y at (0.0000, 0.0000, 0.0000) and Hg at (0.0000, 0.2500, 0.8750).

=====

- What is the formula in the seventh record?
  RbYHg

=====

- The highest total magnetization belongs to which entry?
  number 2

=====

- Among the records above, which one has the highest raw total energy?
  number 2